(1)
The following is a DFT calculation (GGA-PBEsol) of a relaxed TaAs2 crystal.

Output
Magnetic moment = 0.0 μB per formula unit
N(E_F) = 3.9 states/eV/cell
Uncorrected energy = -7.47 eV per atom
Space-group type = No. 194
V = 103.2 Å³ per cell

abc: 4.776 4.776 5.224
angles: 90.00 90.00 120.00
Fractional positions:
1 Ta 0.667 0.333 0.250
2 Ta 0.333 0.667 0.750
3 As 0.333 0.667 0.250
4 As 0.000 0.000 0.000
5 As 0.667 0.333 0.750
6 As 0.000 0.000 0.500

(2)
The following is a DFT calculation (GGA-PBEsol) of a relaxed TaAs2 crystal.

Output
Magnetic moment = 0.0 μB per formula unit
N(E_F) = 0.6 states/eV/cell
Uncorrected energy = -8.11 eV per atom
Space-group type = No. 12
V = 106.0 Å³ per cell

abc: 3.371 4.966 6.991
angles: 78.81 76.05 70.16
Fractional positions:
1 As 0.140 0.247 0.473
2 As 0.860 0.753 0.527
3 As 0.405 0.298 0.891
4 As 0.595 0.702 0.109
5 Ta 0.157 0.881 0.805
6 Ta 0.843 0.119 0.195

(3)
The following is a DFT calculation (GGA-PBEsol) of a relaxed Ta5As4 crystal.

Output
Magnetic moment = 0.0 μB per formula unit
N(E_F) = 2.8 states/eV/cell
Uncorrected energy = -9.80 eV per atom
Space-group type = No. 87
V = 162.2 Å³ per cell

abc: 3.386 7.126 7.126
angles: 86.76 76.25 76.25
Fractional positions:
1 Ta 0.632 0.674 0.062
2 Ta 0.694 0.938 0.674
3 Ta 0.368 0.326 0.938
4 Ta 0.306 0.062 0.326
5 Ta 0.000 0.000 0.000
6 As 0.052 0.235 0.661
7 As 0.713 0.339 0.235
8 As 0.948 0.765 0.339
9 As 0.287 0.661 0.765

(4)
The following is a DFT calculation (GGA-PBEsol) of a relaxed TaAs2 crystal.

Output
Magnetic moment = 0.0 μB per formula unit
N(E_F) = 1.4 states/eV/cell
Uncorrected energy = -7.91 eV per atom
Space-group type = No. 139
V = 49.0 Å³ per cell

abc: 3.400 3.400 4.870
angles: 110.43 110.43 90.00
Fractional positions:
1 As 0.662 0.662 0.324
2 As 0.338 0.338 0.676
3 Ta 0.000 0.000 0.000

(5)
The following is a DFT calculation (GGA-PBEsol) of a relaxed TaAs3 crystal.

Output
Magnetic moment = 0.0 μB per formula unit
N(E_F) = 3.4 states/eV/cell
Uncorrected energy = -6.54 eV per atom
Space-group type = No. 221
V = 69.9 Å³ per cell

abc: 4.120 4.120 4.120
angles: 90.00 90.00 90.00
Fractional positions:
1 Ta 0.000 0.000 0.000
2 As 0.500 0.000 0.500
3 As 0.500 0.500 0.000
4 As 0.000 0.500 0.500

(6)
The following is a DFT calculation (GGA-PBEsol) of a relaxed TaAs3 crystal.

Output
Magnetic moment = 0.0 μB per formula unit
N(E_F) = 3.3 states/eV/cell
Uncorrected energy = -6.72 eV per atom
Space-group type = No. 123
V = 68.5 Å³ per cell

abc: 3.222 4.610 4.610
angles: 90.00 90.00 90.00
Fractional positions:
1 Ta 0.500 0.000 0.000
2 As 0.000 0.500 0.000
3 As 0.000 0.000 0.500
4 As 0.500 0.500 0.500

(7)
The following is a DFT calculation (GGA-PBEsol) of a relaxed TaAs3 crystal.

Output
Magnetic moment = 0.0 μB per formula unit
N(E_F) = 1.9 states/eV/cell
Uncorrected energy = -6.91 eV per atom
Space-group type = No. 166
V = 73.7 Å³ per cell

abc: 3.181 3.181 8.604
angles: 79.35 79.35 60.00
Fractional positions:
1 As 0.260 0.260 0.221
2 As 0.740 0.740 0.779
3 As 0.500 0.500 0.500
4 Ta 0.000 0.000 0.000

(8)
The following is a DFT calculation (GGA-PBEsol) of a relaxed Ta3As crystal.

Output
Magnetic moment = 0.0 μB per formula unit
N(E_F) = 3.8 states/eV/cell
Uncorrected energy = -10.54 eV per atom
Space-group type = No. 225
V = 67.7 Å³ per cell

abc: 4.574 4.574 4.574
angles: 60.00 60.00 60.00
Fractional positions:
1 As 0.000 0.000 0.000
2 Ta 0.750 0.750 0.750
3 Ta 0.250 0.250 0.250
4 Ta 0.500 0.500 0.500

Number 1: E_form 0.35 eV per formula unit. Number 2: E_form -1.57 eV per formula unit. Number 3: E_form -5.00 eV per formula unit. Number 4: E_form -0.97 eV per formula unit. Number 5: E_form 1.70 eV per formula unit. Number 6: E_form 1.00 eV per formula unit. Number 7: E_form 0.23 eV per formula unit. Number 8: E_form 0.59 eV per formula unit.